[1]
PmErSi2Pd2 | the Alexandria database | PBE-GGA | optimized geometry; ΔE_f (raw) = -920 meV per atom; M_tot = 0.00 μB per atom
1.0
4.340 0.000 0.000
-2.170 3.759 0.000
0.000 0.000 7.304
Pd Si Pm Er
2 2 1 1
Direct
0.667 0.333 0.285 Pd
0.333 0.667 0.715 Pd
0.333 0.667 0.267 Si
0.667 0.333 0.733 Si
0.000 0.000 0.000 Pm
0.000 0.000 0.500 Er

---

[2]
Sb3HN | the Alexandria database | PBE-GGA | optimized geometry; M_tot = 0.11 μB per atom; energy above the most stable polymorph in this dataset = 0.000 eV/atom
1.0
4.736 0.000 0.000
0.000 4.736 0.000
0.000 0.000 4.736
Sb N H
3 1 1
Direct
0.500 0.000 0.000 Sb
0.000 0.000 0.500 Sb
0.000 0.500 0.000 Sb
0.000 0.000 0.000 N
0.500 0.500 0.500 H

---

[3]
ZnPbBr2F | the Alexandria database | PBE-GGA | optimized geometry; ΔE_f (raw) = -456 meV per atom; M_tot = 0.00 μB per atom
1.0
-1.041 -1.607 4.517
5.756 -1.088 0.939
0.574 4.547 1.750
Pb Zn Br F
1 1 2 1
Direct
0.000 0.500 0.000 Pb
0.000 0.000 0.000 Zn
0.000 0.000 0.500 Br
0.500 0.000 0.000 Br
0.500 0.500 0.500 F

---

Question: Number 3 is which compound?
Answer: ZnPbBr2F